Mg2AlMoO6 | GGA+U | relaxed

a = 5.121 Å, b = 5.121 Å, c = 4.766 Å
α = 90.00°, β = 90.00°, γ = 90.00°
Sites, in units of the cell vectors:
Mg (0.000, 0.500, 0.000)
Mg (0.500, 0.000, 0.000)
Al (0.000, 0.000, 0.648)
Mo (0.500, 0.500, 0.629)
O (0.000, 0.000, 0.281)
O (0.248, 0.248, 0.789)
O (0.248, 0.752, 0.789)
O (0.500, 0.500, 0.259)
O (0.752, 0.248, 0.789)
O (0.752, 0.752, 0.789)

Summary:
Total energy ... -65.3 eV for the cell shown